Compound: Tl13Sb2
Source: Alexandria
Functional: PBE
Structure: relaxed

Values from the calculation:
* raw formation energy: 0.094 eV/atom
* density: 8.91 Mg/m³
* SG: R-3m
* D(E_F): 6.296 states/eV/cell
* size of the total moment: 0.000 μB/atom
* E above lowest polymorph: 0.0900 eV per atom

a = 8.885 Å, b = 8.885 Å, c = 9.428 Å
α = 61.89°, β = 61.89°, γ = 60.00°
Fractional coordinates of all 15 atoms:
Tl  0.500  0.500  0.500
Tl  0.008  0.610  0.772
Tl  0.610  0.610  0.772
Tl  0.610  0.008  0.772
Tl  0.390  0.992  0.228
Tl  0.992  0.390  0.228
Tl  0.390  0.390  0.228
Tl  0.136  0.759  0.347
Tl  0.759  0.759  0.347
Tl  0.759  0.136  0.347
Tl  0.241  0.864  0.653
Tl  0.864  0.241  0.653
Tl  0.241  0.241  0.653
Sb  0.639  0.639  0.082
Sb  0.361  0.361  0.918